LuMg, optimized geometry, DFT GGA-PBE; electronic total energy = -6.155 eV per cell; total magnetic moment = 0.00 μB per cell; SG = Pm-3m
1.0
-1.855 -2.430 -2.139
-1.617 -1.440 3.038
-2.804 2.438 -0.337
Lu Mg
1 1
Cartesian
0.000 0.000 0.000 Lu
-3.138 -0.716 0.281 Mg